# Fe3BiAs (PBE-GGA, relaxed)
# * final energy: -6.206 eV per atom
# * offset from the most stable computed form: 0.00 kcal/mol of atoms
# * ρ: 8322 kg/m3
data_Fe3BiAs
_chemical_formula_sum 'Fe3 Bi1 As1'
_space_group_name_H-M_alt 'P m -3 m'
_space_group_IT_number 221
_space_group_name_Hall '-P 4 2 3'
_cell_length_a 4.4827
_cell_length_b 4.4827
_cell_length_c 4.4827
_cell_angle_alpha 90.00
_cell_angle_beta 90.00
_cell_angle_gamma 90.00
loop_
_atom_site_label
_atom_site_type_symbol
_atom_site_fract_x
_atom_site_fract_y
_atom_site_fract_z
Fe1 Fe 0.0000 0.0000 0.5000
Bi1 Bi 0.5000 0.5000 0.5000
As1 As 0.0000 0.0000 0.0000